VASP calculation (PBE) on an optimized crystal structure of BaGeF3.

Unit cell a=4.592 b=4.592 c=4.592 alpha=90.00 beta=90.00 gamma=90.00
Atoms (fractional coordinates):
Ba 0.000 0.000 0.000
Ge 0.500 0.500 0.500
F 0.000 0.500 0.500
F 0.500 0.000 0.500
F 0.500 0.500 0.000

Values from the calculation:
The polymorph energy (0 for the lowest one) comes out at 0 meV per atom. The value obtained for the volume is 96.8 Å³/cell.


VASP calculation (PBE) on an optimized crystal structure of Ba3Ge5F12.

Unit cell a=12.717 b=12.717 c=12.717 alpha=109.47 beta=109.47 gamma=109.47
Atoms (fractional coordinates):
Ba 0.125 0.250 0.375
Ba 0.125 0.375 0.750
Ba 0.250 0.375 0.125
Ba 0.250 0.875 0.625
Ba 0.375 0.125 0.250
Ba 0.375 0.750 0.125
Ba 0.625 0.250 0.875
Ba 0.625 0.875 0.750
Ba 0.750 0.125 0.375
Ba 0.750 0.625 0.875
Ba 0.875 0.625 0.250
Ba 0.875 0.750 0.625
Ge 0.000 0.000 0.000
Ge 0.000 0.000 0.500
Ge 0.000 0.500 0.000
Ge 0.000 0.500 0.500
Ge 0.125 0.750 0.875
Ge 0.125 0.875 0.250
Ge 0.250 0.125 0.875
Ge 0.250 0.625 0.375
Ge 0.375 0.250 0.625
Ge 0.375 0.625 0.750
Ge 0.500 0.000 0.000
Ge 0.500 0.000 0.500
Ge 0.500 0.500 0.000
Ge 0.500 0.500 0.500
Ge 0.625 0.375 0.250
Ge 0.625 0.750 0.375
Ge 0.750 0.375 0.625
Ge 0.750 0.875 0.125
Ge 0.875 0.125 0.750
Ge 0.875 0.250 0.125
F 0.048 0.206 0.132
F 0.048 0.342 0.915
F 0.073 0.706 0.658
F 0.073 0.868 0.415
F 0.085 0.632 0.427
F 0.085 0.952 0.658
F 0.132 0.048 0.206
F 0.132 0.585 0.927
F 0.158 0.206 0.573
F 0.158 0.452 0.585
F 0.206 0.132 0.048
F 0.206 0.573 0.158
F 0.294 0.342 0.927
F 0.294 0.452 0.368
F 0.342 0.915 0.048
F 0.342 0.927 0.294
F 0.368 0.294 0.452
F 0.368 0.573 0.915
F 0.415 0.073 0.868
F 0.415 0.842 0.548
F 0.427 0.085 0.632
F 0.427 0.842 0.794
F 0.452 0.368 0.294
F 0.452 0.585 0.158
F 0.548 0.415 0.842
F 0.548 0.632 0.706
F 0.573 0.158 0.206
F 0.573 0.915 0.368
F 0.585 0.158 0.452
F 0.585 0.927 0.132
F 0.632 0.427 0.085
F 0.632 0.706 0.548
F 0.658 0.073 0.706
F 0.658 0.085 0.952
F 0.706 0.548 0.632
F 0.706 0.658 0.073
F 0.794 0.427 0.842
F 0.794 0.868 0.952
F 0.842 0.548 0.415
F 0.842 0.794 0.427
F 0.868 0.415 0.073
F 0.868 0.952 0.794
F 0.915 0.048 0.342
F 0.915 0.368 0.573
F 0.927 0.132 0.585
F 0.927 0.294 0.342
F 0.952 0.658 0.085
F 0.952 0.794 0.868

Values from the calculation:
The value obtained for the volume is 1583.3 Å³/cell. The energy comes out at -0.351 Ry per atom.


VASP calculation (PBE) on an optimized crystal structure of Ba2GeF.

Unit cell a=8.966 b=8.966 c=8.966 alpha=32.64 beta=32.64 gamma=32.64
Atoms (fractional coordinates):
Ba 0.097 0.097 0.097
Ba 0.903 0.903 0.903
Ge 0.500 0.500 0.500
F 0.000 0.000 0.000

Values from the calculation:
The polymorph energy (0 for the lowest one) comes out at 0 meV per atom. The value obtained for the volume is 186.5 Å³/cell.


VASP calculation (PBE) on an optimized crystal structure of Ba5Ge2F.

Unit cell a=8.051 b=8.051 c=16.082 alpha=90.00 beta=90.00 gamma=131.14
Atoms (fractional coordinates):
Ba 0.059 0.941 0.619
Ba 0.059 0.941 0.881
Ba 0.258 0.742 0.250
Ba 0.341 0.659 0.555
Ba 0.341 0.659 0.945
Ba 0.659 0.341 0.055
Ba 0.659 0.341 0.445
Ba 0.742 0.258 0.750
Ba 0.941 0.059 0.119
Ba 0.941 0.059 0.381
Ge 0.160 0.840 0.070
Ge 0.160 0.840 0.430
Ge 0.840 0.160 0.570
Ge 0.840 0.160 0.930
F 0.164 0.836 0.750
F 0.836 0.164 0.250

Values from the calculation:
The value obtained for the volume is 785.0 Å³/cell. The energy comes out at -0.255 Ry per atom.


VASP calculation (PBE) on an optimized crystal structure of Ba2GeF.

Unit cell a=3.722 b=3.722 c=8.049 alpha=90.00 beta=90.00 gamma=90.00
Atoms (fractional coordinates):
Ba 0.000 0.000 0.239
Ba 0.000 0.000 0.761
Ge 0.500 0.500 0.500
F 0.500 0.500 0.000

Values from the calculation:
The polymorph energy (0 for the lowest one) comes out at 57 meV per atom. The value obtained for the volume is 111.5 Å³/cell.


VASP calculation (PBE) on an optimized crystal structure of BaGe2F.

Unit cell a=5.185 b=5.185 c=5.185 alpha=60.00 beta=60.00 gamma=60.00
Atoms (fractional coordinates):
Ba 0.000 0.000 0.000
Ge 0.250 0.250 0.250
Ge 0.750 0.750 0.750
F 0.500 0.500 0.500

Values from the calculation:
The polymorph energy (0 for the lowest one) comes out at 1068 meV per atom. The value obtained for the volume is 98.6 Å³/cell.


VASP calculation (PBE) on an optimized crystal structure of BaGeF4.

Unit cell a=4.610 b=4.610 c=5.655 alpha=101.56 beta=101.56 gamma=88.03
Atoms (fractional coordinates):
Ba 0.000 0.000 0.000
Ge 0.411 0.411 0.553
F 0.178 0.585 0.265
F 0.438 0.845 0.736
F 0.585 0.178 0.265
F 0.845 0.438 0.736

Values from the calculation:
The polymorph energy (0 for the lowest one) comes out at 0 meV per atom. The value obtained for the volume is 115.3 Å³/cell.


VASP calculation (PBE) on an optimized crystal structure of Ba2GeF.

Unit cell a=5.565 b=5.565 c=5.565 alpha=60.00 beta=60.00 gamma=60.00
Atoms (fractional coordinates):
Ba 0.250 0.250 0.250
Ba 0.750 0.750 0.750
Ge 0.000 0.000 0.000
F 0.500 0.500 0.500

Values from the calculation:
The polymorph energy (0 for the lowest one) comes out at 193 meV per atom. The value obtained for the volume is 121.9 Å³/cell.


We obtain N(E_F) values of 3.62 18.60 2.58 11.58 1.35 4.45 0.00 4.51 states/eV per cell for the records listed above, in that order.
We obtain total magnetic moment values of 0.00 15.66 1.03 1.55 0.00 0.00 0.00 0.97 μB per cell for the records listed above, in that order.